(a)
Compound: CoPbSO
Source: the Open Quantum Materials Database
Functional: PBE with a Hubbard U
Structure: optimized geometry

Calculated values
- symmetry = No. 129
- calculated volume (A^3/atom) = 19.11

Cell and atoms, written as CIF:
```
data_CoPbSO
_space_group_name_H-M_alt 'P 1'
_space_group_IT_number 1
_space_group_name_Hall 'P 1'
_cell_length_a 4.409
_cell_length_b 4.409
_cell_length_c 7.863
_cell_angle_alpha 90.00
_cell_angle_beta 90.00
_cell_angle_gamma 90.00
loop_
_atom_site_label
_atom_site_fract_x
_atom_site_fract_y
_atom_site_fract_z
Co1 0.750 0.750 0.250
Co2 0.250 0.250 0.750
O1 0.750 0.750 0.494
O2 0.250 0.250 0.506
Pb1 0.750 0.250 0.000
Pb2 0.250 0.750 0.000
S1 0.250 0.250 0.311
S2 0.750 0.750 0.689
```

***

(b)
Compound: CoPbSO
Source: the Open Quantum Materials Database
Functional: PBE with a Hubbard U
Structure: optimized geometry

Calculated values
- symmetry = No. 36
- calculated volume (A^3/atom) = 16.22

Cell and atoms, written as CIF:
```
data_CoPbSO
_space_group_name_H-M_alt 'P 1'
_space_group_IT_number 1
_space_group_name_Hall 'P 1'
_cell_length_a 3.216
_cell_length_b 3.216
_cell_length_c 14.493
_cell_angle_alpha 90.00
_cell_angle_beta 90.00
_cell_angle_gamma 120.00
loop_
_atom_site_label
_atom_site_fract_x
_atom_site_fract_y
_atom_site_fract_z
Co1 0.334 0.668 0.246
Co2 0.666 0.332 0.746
O1 0.001 0.001 0.311
O2 0.999 0.999 0.811
Pb1 0.997 0.995 0.466
Pb2 0.003 0.005 0.966
S1 0.667 0.335 0.165
S2 0.333 0.665 0.665
```

***

Pick the most stable structure from those above. Pick: (b)